(1)
DFT (GGA+U) results for a relaxed ReMoP2O crystal.

The value obtained for the total energy is -34.680 eV per formula unit.

The space group is P4/mmm (No. 123) and the conventional cell measures 4.8120, 4.8120 and 3.7170 Å, with angles of 90.00, 90.00 and 90.00 degrees. The inequivalent atoms are Re at (0.0000, 0.0000, 0.0000), Mo at (0.5000, 0.5000, 0.5000), P at (0.0000, 0.5000, 0.0000) and O at (0.0000, 0.0000, 0.5000).

=====

(2)
DFT (GGA+U) results for a relaxed ReMoP2O crystal.

The value obtained for the total energy is -31.537 eV per formula unit.

The space group is P4/mmm (No. 123) and the conventional cell measures 4.8605, 4.8605 and 3.7070 Å, with angles of 90.00, 90.00 and 90.00 degrees. The inequivalent atoms are Re at (0.0000, 0.0000, 0.0000), Mo at (0.5000, 0.5000, 0.5000), P at (0.0000, 0.5000, 0.5000) and O at (0.5000, 0.5000, 0.0000).

=====

(3)
DFT (GGA+U) results for a relaxed MoP2RhO crystal.

The value obtained for the total energy is -28.190 eV per formula unit.

The space group is P4/mmm (No. 123) and the conventional cell measures 4.8179, 4.8179 and 3.6671 Å, with angles of 90.00, 90.00 and 90.00 degrees. The inequivalent atoms are Mo at (0.0000, 0.0000, 0.0000), P at (0.0000, 0.5000, 0.5000), Rh at (0.5000, 0.5000, 0.5000) and O at (0.5000, 0.5000, 0.0000).

=====

What is the formula in the third record?
MoP2RhO